# 1
## BaSiNi2 (GGA-PBE)

Data for crystalline BaSiNi2 at its relaxed geometry.

Geometry as CIF:
```
data_BaSiNi2
_chemical_formula_sum 'Ba4 Si4 Ni8'
_symmetry_space_group_name_H-M 'I 41/a m d'
_symmetry_Int_Tables_number 141
_cell_length_a 4.951
_cell_length_b 4.951
_cell_length_c 15.002
_cell_angle_alpha 90.00
_cell_angle_beta 90.00
_cell_angle_gamma 90.00
loop_
_symmetry_equiv_pos_as_xyz
'x,y,z'
'-x,-y,-z'
'-y+1/4,x+3/4,z+1/4'
'y+1/4,-x+3/4,-z+1/4'
'-x+1/2,-y,z+1/2'
'x+1/2,y,-z+1/2'
'y+1/4,-x+1/4,z+3/4'
'-y+1/4,x+1/4,-z+3/4'
'x,-y,-z'
'-x,y,z'
'-y+1/4,-x+1/4,-z+3/4'
'y+1/4,x+1/4,z+3/4'
'-x+1/2,y,-z+1/2'
'x+1/2,-y,z+1/2'
'y+1/4,x+3/4,-z+1/4'
'-y+1/4,-x+3/4,z+1/4'
'x+1/2,y+1/2,z+1/2'
'-x+1/2,-y+1/2,-z+1/2'
'-y+3/4,x+1/4,z+3/4'
'y+3/4,-x+1/4,-z+3/4'
'-x,-y+1/2,z'
'x,y+1/2,-z'
'y+3/4,-x+3/4,z+1/4'
'-y+3/4,x+3/4,-z+1/4'
'x+1/2,-y+1/2,-z+1/2'
'-x+1/2,y+1/2,z+1/2'
'-y+3/4,-x+3/4,-z+1/4'
'y+3/4,x+3/4,z+1/4'
'-x,y+1/2,-z'
'x,-y+1/2,z'
'y+3/4,x+1/4,-z+3/4'
'-y+3/4,-x+1/4,z+3/4'
loop_
_atom_site_label
_atom_site_type_symbol
_atom_site_fract_x
_atom_site_fract_y
_atom_site_fract_z
_atom_site_occupancy
Ba1 Ba 0.000 0.250 0.375 1
Si1 Si 0.000 0.250 0.875 1
Ni1 Ni 0.000 0.000 0.000 1
```

Properties
formation energy from raw total energies = -20.2 kJ per mole of atoms
DOS(E_F) = 2.51 states/eV/f.u.
crystal system = tetragonal

# 2
## Ac2USi3Ir4 (GGA-PBE)

Data for crystalline Ac2USi3Ir4 at its relaxed geometry.

Geometry as CIF:
```
data_Ac2USi3Ir4
_chemical_formula_sum 'Ac2 U1 Si3 Ir4'
_symmetry_space_group_name_H-M 'P -4 m 2'
_symmetry_Int_Tables_number 115
_cell_length_a 4.286
_cell_length_b 4.286
_cell_length_c 10.899
_cell_angle_alpha 90.00
_cell_angle_beta 90.00
_cell_angle_gamma 90.00
loop_
_symmetry_equiv_pos_as_xyz
'x,y,z'
'y,-x,-z'
'-x,-y,z'
'-y,x,-z'
'-x,y,z'
'-y,-x,-z'
'x,-y,z'
'y,x,-z'
loop_
_atom_site_label
_atom_site_type_symbol
_atom_site_fract_x
_atom_site_fract_y
_atom_site_fract_z
_atom_site_occupancy
Ac1 Ac 0.000 0.500 0.236 1
U1 U 0.000 0.000 0.500 1
Si1 Si 0.000 0.500 0.883 1
Si2 Si 0.500 0.500 0.500 1
Ir1 Ir 0.000 0.000 0.000 1
Ir2 Ir 0.000 0.500 0.652 1
Ir3 Ir 0.500 0.500 0.000 1
```

Properties
formation energy from raw total energies = -77.3 kJ per mole of atoms
DOS(E_F) = 9.40 states/eV/f.u.
crystal system = tetragonal

# 3
## Li2AlAu (GGA-PBE)

Data for crystalline Li2AlAu at its relaxed geometry.

Geometry as CIF:
```
data_Li2AlAu
_chemical_formula_sum 'Li2 Al1 Au1'
_symmetry_space_group_name_H-M 'P m m 2'
_symmetry_Int_Tables_number 25
_cell_length_a 2.878
_cell_length_b 3.931
_cell_length_c 5.666
_cell_angle_alpha 90.00
_cell_angle_beta 90.00
_cell_angle_gamma 90.00
loop_
_symmetry_equiv_pos_as_xyz
'x,y,z'
'-x,-y,z'
'-x,y,z'
'x,-y,z'
loop_
_atom_site_label
_atom_site_type_symbol
_atom_site_fract_x
_atom_site_fract_y
_atom_site_fract_z
_atom_site_occupancy
Li1 Li 0.000 0.000 0.000 1
Li2 Li 0.500 0.500 0.251 1
Al1 Al 0.000 0.000 0.519 1
Au1 Au 0.500 0.500 0.750 1
```

Properties
E_form = -0.341 eV per atom
DOS(E_F) = 1.10 states/eV/f.u.
crystal system = orthorhombic

# 4
## BaYPb2 (GGA-PBE)

Data for crystalline BaYPb2 at its relaxed geometry.

Geometry as CIF:
```
data_BaYPb2
_chemical_formula_sum 'Ba4 Y4 Pb8'
_symmetry_space_group_name_H-M 'I -4 2 d'
_symmetry_Int_Tables_number 122
_symmetry_space_group_name_Hall 'I -4 2bw'
_cell_length_a 5.844
_cell_length_b 5.844
_cell_length_c 20.525
_cell_angle_alpha 90.00
_cell_angle_beta 90.00
_cell_angle_gamma 90.00
loop_
_atom_site_label
_atom_site_type_symbol
_atom_site_fract_x
_atom_site_fract_y
_atom_site_fract_z
_atom_site_occupancy
Ba1 Ba 0.000 0.000 0.000 1
Y1 Y 0.000 0.000 0.500 1
Pb1 Pb 0.143 0.250 0.625 1
```

Properties
E_form = -0.115 eV per atom
DOS(E_F) = 2.15 states/eV/f.u.
crystal system = tetragonal

# 5
## NpTc4P2 (GGA-PBE)

Data for crystalline NpTc4P2 at its relaxed geometry.

Geometry as CIF:
```
data_NpTc4P2
_chemical_formula_sum 'Np2 Tc8 P4'
_symmetry_space_group_name_H-M 'C m m m'
_symmetry_Int_Tables_number 65
_symmetry_space_group_name_Hall '-C 2 2'
_cell_length_a 4.028
_cell_length_b 13.669
_cell_length_c 3.980
_cell_angle_alpha 90.00
_cell_angle_beta 90.00
_cell_angle_gamma 90.00
loop_
_atom_site_label
_atom_site_type_symbol
_atom_site_fract_x
_atom_site_fract_y
_atom_site_fract_z
_atom_site_occupancy
Np1 Np 0.000 0.000 0.000 1
Tc1 Tc 0.000 0.183 0.500 1
Tc2 Tc 0.000 0.310 0.000 1
P1 P 0.000 0.415 0.500 1
```

Properties
E_form = -0.506 eV per atom
DOS(E_F) = 11.07 states/eV/f.u.
crystal system = orthorhombic

# 6
## La7Si2Ge2 (GGA-PBE)

Data for crystalline La7Si2Ge2 at its relaxed geometry.

Geometry as CIF:
```
data_La7Si2Ge2
_chemical_formula_sum 'La14 Si4 Ge4'
_symmetry_space_group_name_H-M 'C m m m'
_symmetry_Int_Tables_number 65
_symmetry_space_group_name_Hall '-C 2 2'
_cell_length_a 8.253
_cell_length_b 11.200
_cell_length_c 7.243
_cell_angle_alpha 90.00
_cell_angle_beta 90.00
_cell_angle_gamma 90.00
loop_
_atom_site_label
_atom_site_type_symbol
_atom_site_fract_x
_atom_site_fract_y
_atom_site_fract_z
_atom_site_occupancy
La1 La 0.000 0.000 0.000 1
La2 La 0.000 0.500 0.263 1
La3 La 0.250 0.250 0.295 1
Si1 Si 0.154 0.000 0.500 1
Ge1 Ge 0.000 0.279 0.000 1
```

Properties
formation energy from raw total energies = -37.3 kJ per mole of atoms
DOS(E_F) = 10.80 states/eV/f.u.
crystal system = orthorhombic

# 7
## ZrFe2Br (GGA-PBE)

Data for crystalline ZrFe2Br at its relaxed geometry.

Geometry as CIF:
```
data_ZrFe2Br
_chemical_formula_sum 'Zr3 Fe6 Br3'
_symmetry_space_group_name_H-M 'R -3 m'
_symmetry_Int_Tables_number 166
_symmetry_space_group_name_Hall '-R 3 2"'
_cell_length_a 3.2667
_cell_length_b 3.2667
_cell_length_c 23.9316
_cell_angle_alpha 90.00
_cell_angle_beta 90.00
_cell_angle_gamma 120.00
loop_
_atom_site_label
_atom_site_type_symbol
_atom_site_fract_x
_atom_site_fract_y
_atom_site_fract_z
_atom_site_occupancy
Zr1 Zr 0.0000 0.0000 0.0000 1
Fe1 Fe 0.0000 0.0000 0.2497 1
Br1 Br 0.0000 0.0000 0.5000 1
```

Properties
excess energy over the best structure of this formula in the dataset = 0.371 eV per atom
formation energy from raw total energies = 36.7 kJ per mole of atoms
DOS(E_F) = 5.84 states/eV/f.u.
crystal system = trigonal

# 8
## TlTcTe2Pt (GGA-PBE)

Data for crystalline TlTcTe2Pt at its relaxed geometry.

Geometry as CIF:
```
data_TlTcTe2Pt
_chemical_formula_sum 'Tl1 Tc1 Te2 Pt1'
_symmetry_space_group_name_H-M 'P 4/m m m'
_symmetry_Int_Tables_number 123
_symmetry_space_group_name_Hall '-P 4 2'
_cell_length_a 5.247
_cell_length_b 5.247
_cell_length_c 4.991
_cell_angle_alpha 90.00
_cell_angle_beta 90.00
_cell_angle_gamma 90.00
loop_
_atom_site_label
_atom_site_type_symbol
_atom_site_fract_x
_atom_site_fract_y
_atom_site_fract_z
_atom_site_occupancy
Tl1 Tl 0.000 0.000 0.000 1
Tc1 Tc 0.500 0.500 0.500 1
Te1 Te 0.000 0.500 0.500 1
Pt1 Pt 0.500 0.500 0.000 1
```

Properties
formation energy from raw total energies = 40.1 kJ per mole of atoms
DOS(E_F) = 5.29 states/eV/f.u.
crystal system = tetragonal

# 9
## Sm2TaGe3Pt4 (GGA-PBE)

Data for crystalline Sm2TaGe3Pt4 at its relaxed geometry.

Geometry as CIF:
```
data_Sm2TaGe3Pt4
_chemical_formula_sum 'Sm2 Ta1 Ge3 Pt4'
_symmetry_space_group_name_H-M 'P -4 m 2'
_symmetry_Int_Tables_number 115
_cell_length_a 4.251
_cell_length_b 4.251
_cell_length_c 10.776
_cell_angle_alpha 90.00
_cell_angle_beta 90.00
_cell_angle_gamma 90.00
loop_
_symmetry_equiv_pos_as_xyz
'x,y,z'
'y,-x,-z'
'-x,-y,z'
'-y,x,-z'
'-x,y,z'
'-y,-x,-z'
'x,-y,z'
'y,x,-z'
loop_
_atom_site_label
_atom_site_type_symbol
_atom_site_fract_x
_atom_site_fract_y
_atom_site_fract_z
_atom_site_occupancy
Sm1 Sm 0.000 0.500 0.236 1
Ta1 Ta 0.000 0.000 0.500 1
Ge1 Ge 0.000 0.500 0.865 1
Ge2 Ge 0.500 0.500 0.500 1
Pt1 Pt 0.000 0.000 0.000 1
Pt2 Pt 0.000 0.500 0.637 1
Pt3 Pt 0.500 0.500 0.000 1
```

Properties
E_form = -0.858 eV per atom
DOS(E_F) = 7.54 states/eV/f.u.
crystal system = tetragonal

# 10
## GdCoSi (GGA-PBE)

Data for crystalline GdCoSi at its relaxed geometry.

Geometry as CIF:
```
data_GdCoSi
_chemical_formula_sum 'Gd2 Co2 Si2'
_symmetry_space_group_name_H-M 'P 4/n m m'
_symmetry_Int_Tables_number 129
_cell_length_a 3.953
_cell_length_b 3.953
_cell_length_c 6.811
_cell_angle_alpha 90.00
_cell_angle_beta 90.00
_cell_angle_gamma 90.00
loop_
_symmetry_equiv_pos_as_xyz
'x,y,z'
'-x,-y,-z'
'-y+1/2,x,z'
'y+1/2,-x,-z'
'-x+1/2,-y+1/2,z'
'x+1/2,y+1/2,-z'
'y,-x+1/2,z'
'-y,x+1/2,-z'
'x+1/2,-y,-z'
'-x+1/2,y,z'
'-y,-x,-z'
'y,x,z'
'-x,y+1/2,-z'
'x,-y+1/2,z'
'y+1/2,x+1/2,-z'
'-y+1/2,-x+1/2,z'
loop_
_atom_site_label
_atom_site_type_symbol
_atom_site_fract_x
_atom_site_fract_y
_atom_site_fract_z
_atom_site_occupancy
Gd1 Gd 0.250 0.250 0.177 1
Co1 Co 0.250 0.750 0.500 1
Si1 Si 0.250 0.250 0.683 1
```

Properties
formation energy from raw total energies = -70.4 kJ per mole of atoms
DOS(E_F) = 2.31 states/eV/f.u.
crystal system = tetragonal